{
  "formula": "Ta2FeW",
  "functional": "PBE",
  "state": "optimized geometry",
  "dft_energy_ev_per_cell": -44.86,
  "sg": "No. 10",
  "crystal_system": "monoclinic",
  "e_form_mev_per_atom": 65,
  "lattice_angstrom": [[2.773, 0.000, 0.000], [0.000, 4.394, 0.000], [-0.844, 0.000, 5.251]],
  "species": ["Ta", "Ta", "Fe", "W"],
  "frac_coords": [[0.244, 0.000, 0.253], [0.756, 0.000, 0.747], [0.000, 0.500, 0.500], [0.500, 0.500, 0.000]]
}

{
  "formula": "AcLaNd5",
  "functional": "PBE",
  "state": "optimized geometry",
  "dft_energy_ev_per_cell": -50.25,
  "sg": "No. 71",
  "e_above_lowest_polymorph_mev_per_atom": 1026.1,
  "crystal_system": "orthorhombic",
  "e_form_mev_per_atom": 1107,
  "lattice_angstrom": [[6.113, 0.000, 0.000], [0.000, 9.142, 0.000], [0.000, 0.000, 12.313]],
  "species": ["Ac", "Ac", "La", "La", "Nd", "Nd", "Nd", "Nd", "Nd", "Nd", "Nd", "Nd", "Nd", "Nd"],
  "frac_coords": [[0.000, 0.000, 0.000], [0.500, 0.500, 0.500], [0.000, 0.000, 0.500], [0.500, 0.500, 0.000], [0.000, 0.000, 0.260], [0.000, 0.000, 0.740], [0.000, 0.329, 0.000], [0.000, 0.500, 0.500], [0.000, 0.671, 0.000], [0.500, 0.000, 0.000], [0.500, 0.171, 0.500], [0.500, 0.500, 0.240], [0.500, 0.500, 0.760], [0.500, 0.829, 0.500]]
}

{
  "formula": "Tb4CdIr",
  "functional": "PBE",
  "state": "optimized geometry",
  "dft_energy_ev_per_cell": -125.63,
  "sg": "No. 216",
  "e_above_lowest_polymorph_mev_per_atom": 0.0,
  "crystal_system": "cubic",
  "e_form_mev_per_atom": -518,
  "lattice_angstrom": [[0.000, 6.835, 6.835], [6.835, 0.000, 6.835], [6.835, 6.835, 0.000]],
  "species": ["Tb", "Tb", "Tb", "Tb", "Tb", "Tb", "Tb", "Tb", "Tb", "Tb", "Tb", "Tb", "Tb", "Tb", "Tb", "Tb", "Cd", "Cd", "Cd", "Cd", "Ir", "Ir", "Ir", "Ir"],
  "frac_coords": [[0.060, 0.060, 0.440], [0.060, 0.440, 0.060], [0.060, 0.440, 0.440], [0.188, 0.188, 0.812], [0.188, 0.812, 0.188], [0.188, 0.812, 0.812], [0.202, 0.599, 0.599], [0.440, 0.060, 0.060], [0.440, 0.060, 0.440], [0.440, 0.440, 0.060], [0.599, 0.202, 0.599], [0.599, 0.599, 0.202], [0.599, 0.599, 0.599], [0.812, 0.188, 0.188], [0.812, 0.188, 0.812], [0.812, 0.812, 0.188], [0.508, 0.831, 0.831], [0.831, 0.508, 0.831], [0.831, 0.831, 0.508], [0.831, 0.831, 0.831], [0.392, 0.392, 0.392], [0.392, 0.392, 0.824], [0.392, 0.824, 0.392], [0.824, 0.392, 0.392]]
}

{
  "formula": "Ca2HfBr8",
  "functional": "PBE",
  "state": "optimized geometry",
  "dft_energy_ev_per_cell": -45.36,
  "sg": "No. 12",
  "formation_energy_uncorrected_ev_per_atom": -1.638,
  "crystal_system": "monoclinic",
  "lattice_angstrom": [[7.466, -3.498, 0.000], [7.466, 3.498, 0.000], [-0.103, 0.000, 7.355]],
  "species": ["Ca", "Ca", "Hf", "Br", "Br", "Br", "Br", "Br", "Br", "Br", "Br"],
  "frac_coords": [[0.136, 0.136, 0.036], [0.864, 0.864, 0.964], [0.000, 0.000, 0.500], [0.171, 0.171, 0.425], [0.222, 0.722, 0.240], [0.278, 0.778, 0.760], [0.306, 0.306, 0.910], [0.694, 0.694, 0.090], [0.722, 0.222, 0.240], [0.778, 0.278, 0.760], [0.829, 0.829, 0.575]]
}

{
  "formula": "YNbH3",
  "functional": "PBE",
  "state": "optimized geometry",
  "dft_energy_ev_per_cell": -24.71,
  "sg": "No. 221",
  "e_above_lowest_polymorph_mev_per_atom": 700.9,
  "crystal_system": "cubic",
  "lattice_angstrom": [[3.880, 0.000, 0.000], [0.000, 3.880, 0.000], [0.000, 0.000, 3.880]],
  "species": ["Y", "Nb", "H", "H", "H"],
  "frac_coords": [[0.000, 0.000, 0.000], [0.500, 0.500, 0.500], [0.000, 0.000, 0.500], [0.000, 0.500, 0.000], [0.500, 0.000, 0.000]]
}

{
  "formula": "Na6AuI8",
  "functional": "PBE",
  "state": "optimized geometry",
  "dft_energy_ev_per_cell": -38.11,
  "sg": "No. 225",
  "formation_energy_uncorrected_ev_per_atom": -0.968,
  "crystal_system": "cubic",
  "lattice_angstrom": [[0.000, 6.465, 6.465], [6.465, 0.000, 6.465], [6.465, 6.465, 0.000]],
  "species": ["Na", "Na", "Na", "Na", "Na", "Na", "Au", "I", "I", "I", "I", "I", "I", "I", "I"],
  "frac_coords": [[0.000, 0.000, 0.500], [0.000, 0.500, 0.000], [0.000, 0.500, 0.500], [0.500, 0.000, 0.000], [0.500, 0.000, 0.500], [0.500, 0.500, 0.000], [0.000, 0.000, 0.000], [0.232, 0.232, 0.768], [0.232, 0.768, 0.232], [0.232, 0.768, 0.768], [0.250, 0.250, 0.250], [0.750, 0.750, 0.750], [0.768, 0.232, 0.232], [0.768, 0.232, 0.768], [0.768, 0.768, 0.232]]
}

{
  "formula": "NaHPdO2",
  "functional": "PBE",
  "state": "optimized geometry",
  "dft_energy_ev_per_cell": -48.00,
  "sg": "No. 13",
  "crystal_system": "monoclinic",
  "lattice_angstrom": [[3.750, 0.000, 0.000], [0.000, 5.057, 0.000], [-0.044, 0.000, 6.185]],
  "species": ["Na", "Na", "H", "H", "Pd", "Pd", "O", "O", "O", "O"],
  "frac_coords": [[0.000, 0.006, 0.250], [0.000, 0.994, 0.750], [0.500, 0.000, 0.000], [0.500, 0.000, 0.500], [0.500, 0.499, 0.750], [0.500, 0.501, 0.250], [0.467, 0.234, 0.000], [0.467, 0.766, 0.500], [0.533, 0.234, 0.500], [0.533, 0.766, 0.000]]
}

{
  "formula": "LaCu2AgAu",
  "functional": "PBE",
  "state": "optimized geometry",
  "dft_energy_ev_per_cell": -18.36,
  "sg": "No. 123",
  "crystal_system": "tetragonal",
  "e_form_mev_per_atom": 177,
  "lattice_angstrom": [[4.823, 0.000, 0.000], [0.000, 4.823, 0.000], [0.000, 0.000, 5.128]],
  "species": ["La", "Cu", "Cu", "Ag", "Au"],
  "frac_coords": [[0.000, 0.000, 0.000], [0.000, 0.500, 0.500], [0.500, 0.000, 0.500], [0.500, 0.500, 0.000], [0.500, 0.500, 0.500]]
}

{
  "formula": "TiBeAg3",
  "functional": "PBE",
  "state": "optimized geometry",
  "dft_energy_ev_per_cell": -12.53,
  "sg": "No. 221",
  "e_above_lowest_polymorph_mev_per_atom": 1078.8,
  "crystal_system": "cubic",
  "e_form_mev_per_atom": 1530,
  "lattice_angstrom": [[5.021, 0.000, 0.000], [0.000, 5.021, 0.000], [0.000, 0.000, 5.021]],
  "species": ["Ti", "Be", "Ag", "Ag", "Ag"],
  "frac_coords": [[0.000, 0.000, 0.000], [0.500, 0.500, 0.500], [0.000, 0.000, 0.500], [0.000, 0.500, 0.000], [0.500, 0.000, 0.000]]
}

{
  "formula": "Ac2Pd3Pb",
  "functional": "PBE",
  "state": "optimized geometry",
  "dft_energy_ev_per_cell": -63.34,
  "sg": "No. 194",
  "e_above_lowest_polymorph_mev_per_atom": 0.0,
  "crystal_system": "hexagonal",
  "e_form_mev_per_atom": -694,
  "lattice_angstrom": [[4.700, 0.000, 0.000], [-2.350, 4.070, 0.000], [0.000, 0.000, 16.875]],
  "species": ["Ac", "Ac", "Ac", "Ac", "Pd", "Pd", "Pd", "Pd", "Pd", "Pd", "Pb", "Pb"],
  "frac_coords": [[0.000, 0.000, 0.116], [0.000, 0.000, 0.384], [0.000, 0.000, 0.616], [0.000, 0.000, 0.884], [0.333, 0.667, 0.000], [0.333, 0.667, 0.250], [0.333, 0.667, 0.500], [0.667, 0.333, 0.000], [0.667, 0.333, 0.500], [0.667, 0.333, 0.750], [0.333, 0.667, 0.750], [0.667, 0.333, 0.250]]
}

{
  "formula": "TmNi3Ge2",
  "functional": "PBE",
  "state": "optimized geometry",
  "dft_energy_ev_per_cell": -68.55,
  "sg": "No. 12",
  "crystal_system": "monoclinic",
  "e_form_mev_per_atom": -537,
  "lattice_angstrom": [[7.424, -1.930, 0.000], [7.424, 1.930, 0.000], [-3.100, 0.000, 6.343]],
  "species": ["Tm", "Tm", "Ni", "Ni", "Ni", "Ni", "Ni", "Ni", "Ge", "Ge", "Ge", "Ge"],
  "frac_coords": [[0.150, 0.150, 0.069], [0.850, 0.850, 0.931], [0.041, 0.041, 0.379], [0.313, 0.313, 0.552], [0.408, 0.408, 0.332], [0.592, 0.592, 0.668], [0.687, 0.687, 0.448], [0.959, 0.959, 0.621], [0.193, 0.193, 0.690], [0.479, 0.479, 0.812], [0.521, 0.521, 0.188], [0.807, 0.807, 0.310]]
}

{
  "formula": "ThTi2H",
  "functional": "PBE",
  "state": "optimized geometry",
  "dft_energy_ev_per_cell": -77.69,
  "sg": "No. 166",
  "crystal_system": "trigonal",
  "lattice_angstrom": [[3.107, 0.000, 0.000], [-1.554, 2.691, 0.000], [0.000, 0.000, 24.082]],
  "species": ["Th", "Th", "Th", "Ti", "Ti", "Ti", "Ti", "Ti", "Ti", "H", "H", "H"],
  "frac_coords": [[0.000, 0.000, 0.000], [0.333, 0.667, 0.667], [0.667, 0.333, 0.333], [0.000, 0.000, 0.121], [0.000, 0.000, 0.879], [0.333, 0.667, 0.546], [0.333, 0.667, 0.787], [0.667, 0.333, 0.213], [0.667, 0.333, 0.454], [0.000, 0.000, 0.500], [0.333, 0.667, 0.167], [0.667, 0.333, 0.833]]
}

{
  "formula": "ClF3",
  "functional": "PBE",
  "state": "optimized geometry",
  "dft_energy_ev_per_cell": -14.13,
  "sg": "No. 44",
  "formation_energy_uncorrected_ev_per_atom": 0.099,
  "crystal_system": "orthorhombic",
  "lattice_angstrom": [[3.142, 0.000, 0.000], [0.000, 7.446, 0.000], [0.000, 0.000, 4.985]],
  "species": ["Cl", "Cl", "F", "F", "F", "F", "F", "F"],
  "frac_coords": [[0.000, 0.000, 0.000], [0.500, 0.500, 0.500], [0.000, 0.338, 0.681], [0.000, 0.500, 0.244], [0.000, 0.662, 0.681], [0.500, 0.000, 0.744], [0.500, 0.162, 0.181], [0.500, 0.838, 0.181]]
}

{
  "formula": "BPb2Br",
  "functional": "PBE",
  "state": "optimized geometry",
  "dft_energy_ev_per_cell": -49.77,
  "sg": "No. 225",
  "formation_energy_uncorrected_ev_per_atom": 0.831,
  "e_above_lowest_polymorph_mev_per_atom": 359.0,
  "crystal_system": "cubic",
  "lattice_angstrom": [[7.320, 0.000, 0.000], [0.000, 7.320, 0.000], [0.000, 0.000, 7.320]],
  "species": ["B", "B", "B", "B", "Pb", "Pb", "Pb", "Pb", "Pb", "Pb", "Pb", "Pb", "Br", "Br", "Br", "Br"],
  "frac_coords": [[0.000, 0.000, 0.000], [0.000, 0.500, 0.500], [0.500, 0.000, 0.500], [0.500, 0.500, 0.000], [0.250, 0.250, 0.250], [0.250, 0.250, 0.750], [0.250, 0.750, 0.250], [0.250, 0.750, 0.750], [0.750, 0.250, 0.250], [0.750, 0.250, 0.750], [0.750, 0.750, 0.250], [0.750, 0.750, 0.750], [0.000, 0.000, 0.500], [0.000, 0.500, 0.000], [0.500, 0.000, 0.000], [0.500, 0.500, 0.500]]
}

{
  "formula": "TiNi2Os",
  "functional": "PBE",
  "state": "optimized geometry",
  "dft_energy_ev_per_cell": -119.47,
  "sg": "No. 122",
  "crystal_system": "tetragonal",
  "e_form_mev_per_atom": 205,
  "lattice_angstrom": [[3.572, 0.000, 0.000], [0.000, 3.572, 0.000], [0.000, 0.000, 17.595]],
  "species": ["Ti", "Ti", "Ti", "Ti", "Ni", "Ni", "Ni", "Ni", "Ni", "Ni", "Ni", "Ni", "Os", "Os", "Os", "Os"],
  "frac_coords": [[0.000, 0.000, 0.000], [0.000, 0.500, 0.250], [0.500, 0.000, 0.750], [0.500, 0.500, 0.500], [0.243, 0.250, 0.625], [0.250, 0.743, 0.875], [0.250, 0.757, 0.375], [0.257, 0.250, 0.125], [0.743, 0.750, 0.125], [0.750, 0.243, 0.375], [0.750, 0.257, 0.875], [0.757, 0.750, 0.625], [0.000, 0.000, 0.500], [0.000, 0.500, 0.750], [0.500, 0.000, 0.250], [0.500, 0.500, 0.000]]
}

{
  "formula": "LiTi2Te2",
  "functional": "PBE",
  "state": "optimized geometry",
  "dft_energy_ev_per_cell": -49.89,
  "sg": "No. 139",
  "formation_energy_uncorrected_ev_per_atom": -0.191,
  "e_above_lowest_polymorph_mev_per_atom": 192.1,
  "crystal_system": "tetragonal",
  "lattice_angstrom": [[5.373, 0.000, 0.000], [0.000, 5.373, 0.000], [0.000, 0.000, 8.559]],
  "species": ["Li", "Li", "Ti", "Ti", "Ti", "Ti", "Te", "Te", "Te", "Te"],
  "frac_coords": [[0.000, 0.000, 0.000], [0.500, 0.500, 0.500], [0.000, 0.000, 0.357], [0.000, 0.000, 0.643], [0.500, 0.500, 0.143], [0.500, 0.500, 0.857], [0.000, 0.500, 0.250], [0.000, 0.500, 0.750], [0.500, 0.000, 0.250], [0.500, 0.000, 0.750]]
}

{
  "formula": "CsTl2Te",
  "functional": "PBE",
  "state": "optimized geometry",
  "dft_energy_ev_per_cell": -40.51,
  "sg": "No. 122",
  "formation_energy_uncorrected_ev_per_atom": -0.350,
  "e_above_lowest_polymorph_mev_per_atom": 64.0,
  "crystal_system": "tetragonal",
  "lattice_angstrom": [[9.684, 0.000, 0.000], [0.000, 9.684, 0.000], [0.000, 0.000, 7.384]],
  "species": ["Cs", "Cs", "Cs", "Cs", "Tl", "Tl", "Tl", "Tl", "Tl", "Tl", "Tl", "Tl", "Te", "Te", "Te", "Te"],
  "frac_coords": [[0.000, 0.000, 0.000], [0.000, 0.500, 0.250], [0.500, 0.000, 0.750], [0.500, 0.500, 0.500], [0.201, 0.250, 0.625], [0.250, 0.701, 0.875], [0.250, 0.799, 0.375], [0.299, 0.250, 0.125], [0.701, 0.750, 0.125], [0.750, 0.201, 0.375], [0.750, 0.299, 0.875], [0.799, 0.750, 0.625], [0.000, 0.000, 0.500], [0.000, 0.500, 0.750], [0.500, 0.000, 0.250], [0.500, 0.500, 0.000]]
}

{
  "formula": "Rb3Ir2Cl8",
  "functional": "PBE",
  "state": "optimized geometry",
  "dft_energy_ev_per_cell": -46.74,
  "sg": "No. 166",
  "formation_energy_uncorrected_ev_per_atom": -0.873,
  "crystal_system": "trigonal",
  "lattice_angstrom": [[3.795, 2.191, 8.384], [-3.795, 2.191, 8.384], [0.000, -4.382, 8.384]],
  "species": ["Rb", "Rb", "Rb", "Ir", "Ir", "Cl", "Cl", "Cl", "Cl", "Cl", "Cl", "Cl", "Cl"],
  "frac_coords": [[0.000, 0.000, 0.000], [0.223, 0.223, 0.223], [0.777, 0.777, 0.777], [0.450, 0.450, 0.450], [0.550, 0.550, 0.550], [0.197, 0.734, 0.734], [0.266, 0.266, 0.803], [0.266, 0.803, 0.266], [0.351, 0.351, 0.351], [0.649, 0.649, 0.649], [0.734, 0.197, 0.734], [0.734, 0.734, 0.197], [0.803, 0.266, 0.266]]
}

{
  "formula": "BeV2HOs",
  "functional": "PBE",
  "state": "optimized geometry",
  "dft_energy_ev_per_cell": -36.97,
  "sg": "No. 123",
  "crystal_system": "tetragonal",
  "lattice_angstrom": [[3.721, 0.000, 0.000], [0.000, 3.721, 0.000], [0.000, 0.000, 3.733]],
  "species": ["Be", "V", "V", "H", "Os"],
  "frac_coords": [[0.000, 0.000, 0.000], [0.000, 0.500, 0.500], [0.500, 0.000, 0.500], [0.000, 0.000, 0.500], [0.500, 0.500, 0.000]]
}

{
  "formula": "BaMgCl2",
  "functional": "PBE",
  "state": "optimized geometry",
  "dft_energy_ev_per_cell": -51.63,
  "sg": "No. 225",
  "formation_energy_uncorrected_ev_per_atom": -1.424,
  "e_above_lowest_polymorph_mev_per_atom": 80.2,
  "crystal_system": "cubic",
  "lattice_angstrom": [[7.824, 0.000, 0.000], [0.000, 7.824, 0.000], [0.000, 0.000, 7.824]],
  "species": ["Ba", "Ba", "Ba", "Ba", "Mg", "Mg", "Mg", "Mg", "Cl", "Cl", "Cl", "Cl", "Cl", "Cl", "Cl", "Cl"],
  "frac_coords": [[0.000, 0.000, 0.000], [0.000, 0.500, 0.500], [0.500, 0.000, 0.500], [0.500, 0.500, 0.000], [0.000, 0.000, 0.500], [0.000, 0.500, 0.000], [0.500, 0.000, 0.000], [0.500, 0.500, 0.500], [0.250, 0.250, 0.250], [0.250, 0.250, 0.750], [0.250, 0.750, 0.250], [0.250, 0.750, 0.750], [0.750, 0.250, 0.250], [0.750, 0.250, 0.750], [0.750, 0.750, 0.250], [0.750, 0.750, 0.750]]
}